Below is a relaxed structure of LiVP4O12, with properties calculated at the PBE+U level.

**Space-group type**: C2/m, No. 12
**ΔE to the lowest computed polymorph**: 5.1 kJ/mol of atoms
**DFT total energy**: -7.158 eV/atom

Lattice parameters (Å, degrees): 10.243 10.243 5.011 102.25 102.25 69.16
Positions (direct):
1 Li 0.000 0.500 0.000
2 Li 0.500 0.000 0.000
3 V 0.174 0.174 0.734
4 V 0.826 0.826 0.266
5 P 0.071 0.747 0.822
6 P 0.218 0.460 0.594
7 P 0.253 0.929 0.178
8 P 0.460 0.218 0.594
9 P 0.540 0.782 0.406
10 P 0.747 0.071 0.822
11 P 0.782 0.540 0.406
12 P 0.929 0.253 0.178
13 O 0.011 0.789 0.541
14 O 0.029 0.270 0.015
15 O 0.140 0.860 0.000
16 O 0.147 0.380 0.712
17 O 0.171 0.482 0.303
18 O 0.205 0.607 0.804
19 O 0.211 0.989 0.459
20 O 0.270 0.029 0.015
21 O 0.380 0.147 0.712
22 O 0.387 0.387 0.663
23 O 0.393 0.795 0.196
24 O 0.482 0.171 0.303
25 O 0.518 0.829 0.697
26 O 0.607 0.205 0.804
27 O 0.613 0.613 0.337
28 O 0.620 0.853 0.288
29 O 0.730 0.971 0.985
30 O 0.789 0.011 0.541
31 O 0.795 0.393 0.196
32 O 0.829 0.518 0.697
33 O 0.853 0.620 0.288
34 O 0.860 0.140 0.000
35 O 0.971 0.730 0.985
36 O 0.989 0.211 0.459